Version i
A plane-wave DFT calculation with PBE-GGA was carried out for an optimized crystal structure of LiTmTl.

Structure (POSCAR):
```
LiTmTl
1.0
-3.840 -2.344 1.215
-1.138 -0.437 4.497
-3.685 2.287 1.704
Li Tm Tl
1 1 1
Cartesian
0.000 0.000 0.000
-6.497 -0.370 5.562
-2.166 -0.123 1.854
```

Summary:
M_tot = 0.002 μB/cell

Version ii
A plane-wave DFT calculation with PBE-GGA was carried out for an optimized crystal structure of LiTmTl.

Structure (POSCAR):
```
LiTmTl
1.0
0.000 3.504 3.504
3.504 0.000 3.504
3.504 3.504 0.000
Tm Tl Li
1 1 1
Cartesian
0.000 0.000 0.000
5.256 5.256 5.256
1.752 1.752 1.752
```

Summary:
M_tot = 0.592 μB/cell

Which of them is most stable? Easy: version i.

Version i
A plane-wave DFT calculation with PBE-GGA was carried out for an optimized crystal structure of LiZrTl.

Structure (POSCAR):
```
LiZrTl
1.0
-4.425 -0.392 -0.269
-2.601 3.504 0.870
-2.215 2.001 -3.301
Tl Zr Li
1 1 1
Cartesian
-2.310 1.278 -0.675
-6.931 3.835 -2.024
0.000 0.000 0.000
```

Summary:
M_tot = 0.003 μB/cell

Version ii
A plane-wave DFT calculation with PBE-GGA was carried out for an optimized crystal structure of LiZrTl.

Structure (POSCAR):
```
LiZrTl
1.0
0.000 3.354 3.354
3.354 0.000 3.354
3.354 3.354 0.000
Li Zr Tl
1 1 1
Cartesian
1.677 1.677 1.677
0.000 0.000 0.000
5.031 5.031 5.031
```

Summary:
M_tot = 0.001 μB/cell

Which of them is most stable? Easy: version i.

Version i
A plane-wave DFT calculation with PBE-GGA was carried out for an optimized crystal structure of Li2Tm.

Structure (POSCAR):
```
Li2Tm
1.0
-5.167 5.014 2.640
5.058 -2.553 -5.168
-3.579 -2.491 -2.273
Li Tm
4 2
Cartesian
-1.687 -1.416 -3.771
-2.001 1.386 -1.029
-5.388 1.323 -0.945
1.701 -1.353 -3.855
1.603 -3.850 -6.283
-5.290 3.821 1.483
```

Summary:
M_tot = 0.086 μB/cell

Version ii
A plane-wave DFT calculation with PBE-GGA was carried out for an optimized crystal structure of Li2Tm.

Structure (POSCAR):
```
Li2Tm
1.0
3.154 -3.481 -1.580
2.594 -2.664 3.276
-1.054 -4.794 0.684
Tm Li
1 2
Cartesian
0.000 0.000 0.000
1.174 -2.735 0.595
3.521 -8.204 1.785
```

Summary:
M_tot = 0.043 μB/cell

Which of them is most stable? Easy: version i.

Version i
A plane-wave DFT calculation with PBE-GGA was carried out for an optimized crystal structure of LiTmW.

Structure (POSCAR):
```
LiTmW
1.0
-1.366 1.302 4.282
-3.092 3.475 0.513
-4.349 -0.933 1.453
Tm Li W
1 1 1
Cartesian
0.000 0.000 0.000
-2.202 0.961 1.562
-6.605 2.883 4.686
```

Summary:
M_tot = 2.505 μB/cell

Version ii
A plane-wave DFT calculation with PBE-GGA was carried out for an optimized crystal structure of LiTmW.

Structure (POSCAR):
```
LiTmW
1.0
-1.997 -2.521 2.978
-1.739 1.811 3.593
-4.354 0.193 0.469
Tm Li W
1 1 1
Cartesian
-2.022 -0.129 1.760
0.000 0.000 0.000
-6.067 -0.388 5.279
```

Summary:
M_tot = 0.412 μB/cell

Which of them is most stable? Easy: version ii.

Version i
A plane-wave DFT calculation with PBE-GGA was carried out for an optimized crystal structure of LiU.

Structure (POSCAR):
```
LiU
1.0
0.000 3.047 3.047
3.047 0.000 3.047
3.047 3.047 0.000
U Li
1 1
Cartesian
1.523 1.523 1.523
0.000 0.000 0.000
```

Summary:
M_tot = 4.955 μB/cell

Version ii
A plane-wave DFT calculation with PBE-GGA was carried out for an optimized crystal structure of LiU.

Structure (POSCAR):
```
LiU
1.0
-1.533 1.801 4.152
-2.226 -3.755 -1.942
2.978 -3.010 2.405
U Li
2 2
Cartesian
1.489 -1.505 1.203
0.000 0.000 0.000
0.239 -4.160 1.893
-1.019 -0.803 2.722
```

Summary:
M_tot = 4.685 μB/cell

Version iii
A plane-wave DFT calculation with PBE-GGA was carried out for an optimized crystal structure of LiU.

Structure (POSCAR):
```
LiU
1.0
3.457 -1.403 -1.558
0.382 -3.933 -0.856
0.131 -1.228 -3.850
U Li
1 1
Cartesian
1.985 -3.282 -3.132
0.000 0.000 0.000
```

Summary:
M_tot = 4.870 μB/cell

Version iv
A plane-wave DFT calculation with PBE-GGA was carried out for an optimized crystal structure of LiU.

Structure (POSCAR):
```
LiU
1.0
2.807 0.000 0.000
-1.404 2.431 0.000
0.000 0.000 5.570
Li U
1 1
Cartesian
1.404 0.810 4.177
0.000 1.621 1.392
```

Summary:
M_tot = 0.907 μB/cell

Which of them is most stable? Easy: version iv.

Version i
A plane-wave DFT calculation with PBE-GGA was carried out for an optimized crystal structure of LiUW.

Structure (POSCAR):
```
LiUW
1.0
0.000 3.110 3.110
3.110 0.000 3.110
3.110 3.110 0.000
U W Li
1 1 1
Cartesian
0.000 0.000 0.000
4.665 4.665 4.665
1.555 1.555 1.555
```

Summary:
M_tot = 0.692 μB/cell

Version ii
A plane-wave DFT calculation with PBE-GGA was carried out for an optimized crystal structure of LiUW.

Structure (POSCAR):
```
LiUW
1.0
-1.360 -4.124 -0.514
0.112 -2.776 3.377
-3.726 -1.323 1.868
W U Li
1 1 1
Cartesian
0.000 0.000 0.000
-1.243 -2.056 1.183
-3.730 -6.168 3.548
```

Summary:
M_tot = 0.620 μB/cell

Which of them is most stable? Easy: version ii.

Version i
A plane-wave DFT calculation with PBE-GGA was carried out for an optimized crystal structure of LiUZn.

Structure (POSCAR):
```
LiUZn
1.0
1.089 -3.396 3.177
-0.951 0.670 4.633
-3.480 -2.501 2.110
U Zn Li
1 1 1
Cartesian
0.000 0.000 0.000
-2.506 -3.920 7.440
-0.835 -1.307 2.480
```

Summary:
M_tot = 3.683 μB/cell

Version ii
A plane-wave DFT calculation with PBE-GGA was carried out for an optimized crystal structure of LiUZn.

Structure (POSCAR):
```
LiUZn
1.0
0.976 -4.148 -1.236
-2.408 -3.397 1.534
-2.721 -2.201 -2.728
Zn U Li
1 1 1
Cartesian
-3.115 -7.310 -1.823
-1.038 -2.437 -0.608
0.000 0.000 0.000
```

Summary:
M_tot = 3.744 μB/cell

Which of them is most stable? Easy: version ii.

Version i
A plane-wave DFT calculation with PBE-GGA was carried out for an optimized crystal structure of LiZrU.

Structure (POSCAR):
```
LiZrU
1.0
3.502 -1.971 -2.084
1.357 -4.128 1.269
-0.693 -3.547 -2.725
U Zr Li
1 1 1
Cartesian
1.042 -2.412 -0.885
3.125 -7.235 -2.655
0.000 0.000 0.000
```

Summary:
M_tot = 2.383 μB/cell

Version ii
A plane-wave DFT calculation with PBE-GGA was carried out for an optimized crystal structure of LiZrU.

Structure (POSCAR):
```
LiZrU
1.0
2.347 -0.858 3.804
0.374 3.201 3.214
-2.187 -0.487 3.962
Li U Zr
1 1 1
Cartesian
0.267 0.928 5.490
0.133 0.464 2.745
0.000 0.000 0.000
```

Summary:
M_tot = 0.108 μB/cell

Which of them is most stable? Easy: version i.